Entry 1:
VASP calculation (PBE-GGA) on a relaxed structure of CsPaAgSe3.

Computed properties:
The uncorrected formation energy is -1131 meV/atom.

CIF file:
```
data_CsPaAgSe3
_chemical_formula_sum 'Cs2 Pa2 Ag2 Se6'
_symmetry_space_group_name_H-M 'P 1 21/m 1'
_symmetry_Int_Tables_number 11
_symmetry_space_group_name_Hall '-P 2yb'
_cell_length_a 9.5714
_cell_length_b 4.2769
_cell_length_c 10.3697
_cell_angle_alpha 90.00
_cell_angle_beta 111.82
_cell_angle_gamma 90.00
loop_
_atom_site_label
_atom_site_type_symbol
_atom_site_fract_x
_atom_site_fract_y
_atom_site_fract_z
_atom_site_occupancy
Cs1 Cs 0.2204 0.2500 0.2589 1
Pa1 Pa 0.3202 0.7500 0.8450 1
Ag1 Ag 0.0792 0.2500 0.5984 1
Se1 Se 0.1291 0.2500 0.8699 1
Se2 Se 0.2316 0.7500 0.5541 1
Se3 Se 0.4706 0.7500 0.1448 1
```

Entry 2:
VASP calculation (PBE-GGA) on a relaxed structure of Pm2ZnHg5.

Computed properties:
As for the formation energy: -202 meV per atom. The value obtained for the energy above the most stable polymorph in this dataset is 0.025 eV/atom.

CIF file:
```
data_Pm2ZnHg5
_chemical_formula_sum 'Pm4 Zn2 Hg10'
_symmetry_space_group_name_H-M 'C 1 2/m 1'
_symmetry_Int_Tables_number 12
_symmetry_space_group_name_Hall '-C 2y'
_cell_length_a 8.1075
_cell_length_b 4.6689
_cell_length_c 11.6065
_cell_angle_alpha 90.00
_cell_angle_beta 103.34
_cell_angle_gamma 90.00
loop_
_atom_site_label
_atom_site_type_symbol
_atom_site_fract_x
_atom_site_fract_y
_atom_site_fract_z
_atom_site_occupancy
Pm1 Pm 0.0896 0.0000 0.2697 1
Zn1 Zn 0.0000 0.0000 0.0000 1
Hg1 Hg 0.0000 0.5000 0.5000 1
Hg2 Hg 0.1343 0.5000 0.9021 1
Hg3 Hg 0.1998 0.0000 0.5988 1
```

Entry 3:
VASP calculation (PBE-GGA) on a relaxed structure of CaY2SbC.

Computed properties:
The uncorrected formation energy is -605 meV/atom.

CIF file:
```
data_CaY2SbC
_chemical_formula_sum 'Ca1 Y2 Sb1 C1'
_symmetry_space_group_name_H-M 'P 4/m m m'
_symmetry_Int_Tables_number 123
_symmetry_space_group_name_Hall '-P 4 2'
_cell_length_a 4.8882
_cell_length_b 4.8882
_cell_length_c 4.9613
_cell_angle_alpha 90.00
_cell_angle_beta 90.00
_cell_angle_gamma 90.00
loop_
_atom_site_label
_atom_site_type_symbol
_atom_site_fract_x
_atom_site_fract_y
_atom_site_fract_z
_atom_site_occupancy
Ca1 Ca 0.0000 0.0000 0.0000 1
Y1 Y 0.0000 0.5000 0.5000 1
Sb1 Sb 0.5000 0.5000 0.0000 1
C1 C 0.0000 0.0000 0.5000 1
```

Entry 4:
VASP calculation (PBE-GGA) on a relaxed structure of Rb2NbSiI.

Computed properties:
The uncorrected formation energy is 930 meV/atom.

CIF file:
```
data_Rb2NbSiI
_chemical_formula_sum 'Rb2 Nb1 Si1 I1'
_symmetry_space_group_name_H-M 'P 4/m m m'
_symmetry_Int_Tables_number 123
_symmetry_space_group_name_Hall '-P 4 2'
_cell_length_a 6.8052
_cell_length_b 6.8052
_cell_length_c 5.5481
_cell_angle_alpha 90.00
_cell_angle_beta 90.00
_cell_angle_gamma 90.00
loop_
_atom_site_label
_atom_site_type_symbol
_atom_site_fract_x
_atom_site_fract_y
_atom_site_fract_z
_atom_site_occupancy
Rb1 Rb 0.0000 0.5000 0.0000 1
Nb1 Nb 0.0000 0.0000 0.5000 1
Si1 Si 0.5000 0.5000 0.5000 1
I1 I 0.0000 0.0000 0.0000 1
```

Entry 5:
VASP calculation (PBE-GGA) on a relaxed structure of SmHoSiHg.

Computed properties:
The uncorrected formation energy is -458 meV/atom.

CIF file:
```
data_SmHoSiHg
_chemical_formula_sum 'Sm4 Ho4 Si4 Hg4'
_symmetry_space_group_name_H-M 'F -4 3 m'
_symmetry_Int_Tables_number 216
_symmetry_space_group_name_Hall 'F -4 2 3'
_cell_length_a 7.2897
_cell_length_b 7.2897
_cell_length_c 7.2897
_cell_angle_alpha 90.00
_cell_angle_beta 90.00
_cell_angle_gamma 90.00
loop_
_atom_site_label
_atom_site_type_symbol
_atom_site_fract_x
_atom_site_fract_y
_atom_site_fract_z
_atom_site_occupancy
Sm1 Sm 0.0000 0.0000 0.0000 1
Ho1 Ho 0.0000 0.0000 0.5000 1
Si1 Si 0.2500 0.2500 0.2500 1
Hg1 Hg 0.2500 0.2500 0.7500 1
```

Entry 6:
VASP calculation (PBE-GGA) on a relaxed structure of CaGaPd2.

Computed properties:
As for the formation energy: -595 meV per atom.

CIF file:
```
data_CaGaPd2
_chemical_formula_sum 'Ca1 Ga1 Pd2'
_symmetry_space_group_name_H-M 'P 4/m m m'
_symmetry_Int_Tables_number 123
_symmetry_space_group_name_Hall '-P 4 2'
_cell_length_a 4.5171
_cell_length_b 4.5171
_cell_length_c 3.5037
_cell_angle_alpha 90.00
_cell_angle_beta 90.00
_cell_angle_gamma 90.00
loop_
_atom_site_label
_atom_site_type_symbol
_atom_site_fract_x
_atom_site_fract_y
_atom_site_fract_z
_atom_site_occupancy
Ca1 Ca 0.0000 0.0000 0.0000 1
Ga1 Ga 0.5000 0.5000 0.0000 1
Pd1 Pd 0.0000 0.5000 0.5000 1
```

Entry 7:
VASP calculation (PBE-GGA) on a relaxed structure of YHo3Sc2.

Computed properties:
As for the formation energy: 152 meV per atom. The value obtained for the energy above the most stable polymorph in this dataset is 0.000 eV/atom.

CIF file:
```
data_YHo3Sc2
_chemical_formula_sum 'Y4 Ho12 Sc8'
_symmetry_space_group_name_H-M 'C 1 2/m 1'
_symmetry_Int_Tables_number 12
_symmetry_space_group_name_Hall '-C 2y'
_cell_length_a 22.5114
_cell_length_b 3.3773
_cell_length_c 9.8610
_cell_angle_alpha 90.00
_cell_angle_beta 107.90
_cell_angle_gamma 90.00
loop_
_atom_site_label
_atom_site_type_symbol
_atom_site_fract_x
_atom_site_fract_y
_atom_site_fract_z
_atom_site_occupancy
Y1 Y 0.1839 0.0000 0.0433 1
Ho1 Ho 0.0599 0.0000 0.4346 1
Ho2 Ho 0.0685 0.5000 0.7696 1
Ho3 Ho 0.1973 0.0000 0.7082 1
Sc1 Sc 0.0706 0.5000 0.1397 1
Sc2 Sc 0.1919 0.0000 0.3733 1
```

Entry 8:
VASP calculation (PBE-GGA) on a relaxed structure of CeDyCo.

Computed properties:
As for the formation energy: -175 meV per atom. The value obtained for the energy above the most stable polymorph in this dataset is 0.000 eV/atom.

CIF file:
```
data_CeDyCo
_chemical_formula_sum 'Ce2 Dy2 Co2'
_symmetry_space_group_name_H-M 'P 1 21/m 1'
_symmetry_Int_Tables_number 11
_symmetry_space_group_name_Hall '-P 2yb'
_cell_length_a 5.7855
_cell_length_b 4.0701
_cell_length_c 6.3007
_cell_angle_alpha 90.00
_cell_angle_beta 107.65
_cell_angle_gamma 90.00
loop_
_atom_site_label
_atom_site_type_symbol
_atom_site_fract_x
_atom_site_fract_y
_atom_site_fract_z
_atom_site_occupancy
Ce1 Ce 0.0006 0.2500 0.1894 1
Dy1 Dy 0.4418 0.2500 0.7089 1
Co1 Co 0.1360 0.7500 0.4431 1
```

| no. | VASP energy (eV/cell) |
| --- | --- |
| 1 | -60.88 |
| 2 | -27.79 |
| 3 | -31.30 |
| 4 | -14.33 |
| 5 | -67.42 |
| 6 | -17.79 |
| 7 | -127.81 |
| 8 | -36.33 |